VASP calculation (PBE) on Mg4NpRh15 after structural relaxation.

extended XYZ file:
```
20
Lattice="-0.049 0.477 3.917 3.890 -0.650 0.128 3.215 18.805 -2.251" Properties=species:S:1:pos:R:3 pbc="T T T"
Mg 0.657 3.840 -0.460
Rh 1.920 -0.086 2.022
Rh 4.477 14.872 0.232
Rh 2.216 13.349 0.389
Rh 2.273 1.593 -0.166
Rh 3.845 11.170 0.675
Rh 2.862 17.126 -0.063
Rh 4.832 16.562 -1.958
Rh 0.949 5.933 1.277
Mg 1.291 7.553 -0.904
Mg 2.558 14.965 -1.792
Rh 2.919 5.370 -0.618
Rh 2.578 3.761 1.562
Rh 0.303 2.157 1.729
Rh 4.186 12.785 -1.505
Mg 1.924 11.252 -1.347
Rh 1.583 9.641 0.833
Rh 3.552 9.078 -1.062
Rh 3.211 7.462 1.119
Np 0.000 0.000 0.000
```

**N(E_F)**: 25.067 states/eV/f.u.
**Spin magnetization**: 0.0 μB/f.u.
**ΔH_f (0 K)**: -0.25 eV per atom
**Crystal system**: tetragonal